(1)
SrAcTm2: relaxed, PBE-GGA.

Geometry as CIF:
```
data_SrAcTm2
_cell_length_a 3.826
_cell_length_b 3.826
_cell_length_c 10.487
_cell_angle_alpha 90.00
_cell_angle_beta 90.00
_cell_angle_gamma 90.00
_symmetry_space_group_name_H-M 'P 4/m m m'
_symmetry_Int_Tables_number 123
_symmetry_space_group_name_Hall '-P 4 2'
loop_
_atom_site_label
_atom_site_fract_x
_atom_site_fract_y
_atom_site_fract_z
_atom_site_occupancy
Sr1 0.000 0.000 0.000 1
Ac1 0.000 0.000 0.500 1
Tm1 0.500 0.500 0.267 1
```

Calculated values
Calculated total energy (eV for the cell shown): -14.02
Polymorph energy (0 for the lowest one) (eV per atom): 0.000
ΔE_f (eV/f.u.): 0.7

=====

(2)
SrAc2Tm: relaxed, PBE-GGA.

Geometry as CIF:
```
data_SrAc2Tm
_cell_length_a 5.643
_cell_length_b 5.643
_cell_length_c 5.269
_cell_angle_alpha 90.00
_cell_angle_beta 90.00
_cell_angle_gamma 90.00
_symmetry_space_group_name_H-M 'P 4/m m m'
_symmetry_Int_Tables_number 123
_symmetry_space_group_name_Hall '-P 4 2'
loop_
_atom_site_label
_atom_site_fract_x
_atom_site_fract_y
_atom_site_fract_z
_atom_site_occupancy
Sr1 0.000 0.000 0.000 1
Ac1 0.000 0.500 0.500 1
Tm1 0.500 0.500 0.000 1
```

Calculated values
Calculated total energy (eV for the cell shown): -13.76
Polymorph energy (0 for the lowest one) (eV per atom): 0.081
ΔE_f (eV/f.u.): 0.6

=====

(3)
SrAc2Tm: relaxed, PBE-GGA.

Geometry as CIF:
```
data_SrAc2Tm
_cell_length_a 3.8584
_cell_length_b 3.8584
_cell_length_c 40.8650
_cell_angle_alpha 90.00
_cell_angle_beta 90.00
_cell_angle_gamma 120.00
_symmetry_space_group_name_H-M 'R -3 m'
_symmetry_Int_Tables_number 166
_symmetry_space_group_name_Hall '-R 3 2"'
loop_
_atom_site_label
_atom_site_fract_x
_atom_site_fract_y
_atom_site_fract_z
_atom_site_occupancy
Sr1 0.0000 0.0000 0.0000 1
Ac1 0.0000 0.0000 0.0948 1
Tm1 0.0000 0.0000 0.5000 1
```

Calculated values
Calculated total energy (eV for the cell shown): -40.94
Polymorph energy (0 for the lowest one) (eV per atom): 0.110
ΔE_f (eV/f.u.): 0.7

=====

What did the third record say?
SrAc2Tm: relaxed, PBE-GGA.

Geometry as CIF:
```
data_SrAc2Tm
_cell_length_a 3.8584
_cell_length_b 3.8584
_cell_length_c 40.8650
_cell_angle_alpha 90.00
_cell_angle_beta 90.00
_cell_angle_gamma 120.00
_symmetry_space_group_name_H-M 'R -3 m'
_symmetry_Int_Tables_number 166
_symmetry_space_group_name_Hall '-R 3 2"'
loop_
_atom_site_label
_atom_site_fract_x
_atom_site_fract_y
_atom_site_fract_z
_atom_site_occupancy
Sr1 0.0000 0.0000 0.0000 1
Ac1 0.0000 0.0000 0.0948 1
Tm1 0.0000 0.0000 0.5000 1
```

Calculated values
Calculated total energy (eV for the cell shown): -40.94
Polymorph energy (0 for the lowest one) (eV per atom): 0.110
ΔE_f (eV/f.u.): 0.7